Record 1
Here is a relaxed Ti3CuPt2 crystal from the Alexandria database. Energies are from GGA-PBE.

a = 2.750 Å, b = 4.813 Å, c = 14.984 Å
α = 90.00°, β = 90.00°, γ = 90.00°
Fractional coordinates of all 12 atoms:
Ti 0.000 0.000 0.000
Ti 0.000 0.500 0.179
Ti 0.000 0.500 0.821
Ti 0.500 0.000 0.321
Ti 0.500 0.000 0.679
Ti 0.500 0.500 0.500
Cu 0.000 0.500 0.000
Cu 0.500 0.000 0.500
Pt 0.000 0.500 0.350
Pt 0.000 0.500 0.650
Pt 0.500 0.000 0.150
Pt 0.500 0.000 0.850

Formation energy from the elements = -30 kJ per mole of atoms
D(E_F) = 14.92 states/eV per cell

---

Record 2
Here is a relaxed SiTeIr2 crystal from the Alexandria database. Energies are from GGA-PBE.

a = 2.980 Å, b = 2.980 Å, c = 28.815 Å
α = 90.00°, β = 90.00°, γ = 120.00°
Fractional coordinates of all 12 atoms:
Si 0.000 0.000 0.000
Si 0.333 0.667 0.667
Si 0.667 0.333 0.333
Te 0.000 0.000 0.786
Te 0.333 0.667 0.452
Te 0.667 0.333 0.119
Ir 0.000 0.000 0.272
Ir 0.000 0.000 0.526
Ir 0.333 0.667 0.193
Ir 0.333 0.667 0.939
Ir 0.667 0.333 0.605
Ir 0.667 0.333 0.860

Distance to the lowest polymorph of the same formula = 532.3 meV/atom
Formation energy without anion corrections = 7.58 kcal/mol of atoms
D(E_F) = 5.58 states/eV per cell

---

Record 3
Here is a relaxed LiAcGeAu crystal from the Alexandria database. Energies are from GGA-PBE.

a = 7.340 Å, b = 7.340 Å, c = 7.340 Å
α = 90.00°, β = 90.00°, γ = 90.00°
Fractional coordinates of all 16 atoms:
Li 0.000 0.000 0.000
Li 0.000 0.500 0.500
Li 0.500 0.000 0.500
Li 0.500 0.500 0.000
Ac 0.000 0.000 0.500
Ac 0.000 0.500 0.000
Ac 0.500 0.000 0.000
Ac 0.500 0.500 0.500
Ge 0.250 0.250 0.250
Ge 0.250 0.750 0.750
Ge 0.750 0.250 0.750
Ge 0.750 0.750 0.250
Au 0.250 0.250 0.750
Au 0.250 0.750 0.250
Au 0.750 0.250 0.250
Au 0.750 0.750 0.750

Formation energy from the elements = -50 kJ per mole of atoms
D(E_F) = 10.39 states/eV per cell

---

Record 4
Here is a relaxed CsUGaBr6 crystal from the Alexandria database. Energies are from GGA-PBE.

a = 7.858 Å, b = 7.858 Å, c = 15.375 Å
α = 90.00°, β = 90.00°, γ = 120.00°
Fractional coordinates of all 18 atoms:
Cs 0.000 0.000 0.000
Cs 0.000 0.000 0.500
U 0.333 0.667 0.250
U 0.667 0.333 0.750
Ga 0.333 0.667 0.750
Ga 0.667 0.333 0.250
Br 0.031 0.388 0.145
Br 0.031 0.643 0.355
Br 0.357 0.388 0.355
Br 0.357 0.969 0.145
Br 0.388 0.031 0.645
Br 0.388 0.357 0.855
Br 0.612 0.643 0.145
Br 0.612 0.969 0.355
Br 0.643 0.031 0.855
Br 0.643 0.612 0.645
Br 0.969 0.357 0.645
Br 0.969 0.612 0.855

Formation energy without anion corrections = -29.81 kcal/mol of atoms
D(E_F) = 15.49 states/eV per cell

---

Record 5
Here is a relaxed GdDyGe2 crystal from the Alexandria database. Energies are from GGA-PBE.

a = 4.653 Å, b = 4.653 Å, c = 15.651 Å
α = 90.00°, β = 90.00°, γ = 120.00°
Fractional coordinates of all 12 atoms:
Gd 0.000 0.000 0.000
Gd 0.333 0.667 0.667
Gd 0.667 0.333 0.333
Dy 0.000 0.000 0.500
Dy 0.333 0.667 0.167
Dy 0.667 0.333 0.833
Ge 0.000 0.000 0.248
Ge 0.000 0.000 0.752
Ge 0.333 0.667 0.418
Ge 0.333 0.667 0.915
Ge 0.667 0.333 0.085
Ge 0.667 0.333 0.582

Distance to the lowest polymorph of the same formula = 0.0 meV/atom
Formation energy from the elements = -67 kJ per mole of atoms
D(E_F) = 7.18 states/eV per cell

---

Record 6
Here is a relaxed CuWCl3 crystal from the Alexandria database. Energies are from GGA-PBE.

a = 4.724 Å, b = 4.724 Å, c = 4.724 Å
α = 90.00°, β = 90.00°, γ = 90.00°
Fractional coordinates of all 5 atoms:
Cu 0.000 0.000 0.000
W 0.500 0.500 0.500
Cl 0.000 0.000 0.500
Cl 0.000 0.500 0.000
Cl 0.500 0.000 0.000

Distance to the lowest polymorph of the same formula = 380.6 meV/atom
Formation energy without anion corrections = 18.21 kcal/mol of atoms
D(E_F) = 5.78 states/eV per cell